Density functional theory data (GGA-PBE) for a relaxed structure of Y3Ho3Ni2.

Output
**Formation energy from the elements**: -155 meV/atom
**E_tot**: -5.74 eV/atom
**Magnetization**: 0.000 μB/atom

```
Y3Ho3Ni2
1.0
1.813 -6.499 0.000
1.813 6.499 0.000
0.000 0.000 18.252
Y Ho Ni
6 6 4
Cartesian
1.813 5.704 10.760 Y
1.813 5.704 16.619 Y
1.813 2.518 13.689 Y
1.813 -2.518 4.563 Y
1.813 -5.704 1.634 Y
1.813 -5.704 7.493 Y
1.813 2.246 10.201 Ho
1.813 2.246 17.177 Ho
1.813 1.060 4.563 Ho
1.813 -1.060 13.689 Ho
1.813 -2.246 1.075 Ho
1.813 -2.246 8.051 Ho
1.813 2.805 2.519 Ni
1.813 2.805 6.607 Ni
1.813 -2.805 11.645 Ni
1.813 -2.805 15.733 Ni
```


Density functional theory data (GGA-PBE) for a relaxed structure of Pa2AlV.

Output
**Formation energy from the elements**: -9 meV/atom
**E_tot**: -7.97 eV/atom
**Energy above the most stable polymorph in this dataset**: 0 meV per atom
**Magnetization**: 0.328 μB/atom

```
Pa2AlV
1.0
4.310 0.000 0.000
0.000 4.310 0.000
0.000 0.000 4.404
Pa Al V
2 1 1
Cartesian
0.000 2.155 0.000 Pa
2.155 0.000 0.000 Pa
0.000 0.000 2.202 Al
2.155 2.155 2.202 V
```